(1)
A geometry-optimized Ac2La4Tb7 structure. Source: Alexandria, functional GGA-PBE.

a b c (Å): 6.2986 6.2986 13.6107
angles (deg): 90.00 90.00 120.00
Closest atoms and distances in Å follow each position.
Atoms (fractional coordinates):
Ac 0.3333 0.6667 0.0000  9 Tb 3.58-3.64, 3 Ac 3.64
Ac 0.6667 0.3333 0.0000  9 Tb 3.58-3.64, 3 Ac 3.64
La 0.0000 0.0000 0.3916  1 La 2.95, 3 Tb 3.27
La 0.0000 0.0000 0.6084  1 La 2.95, 3 Tb 3.27
La 0.3333 0.6667 0.5000  9 La 3.64-3.92
La 0.6667 0.3333 0.5000  9 La 3.64-3.92
Tb 0.0000 0.0000 0.0000  6 Ac 3.64, 6 Tb 3.71
Tb 0.0000 0.3566 0.7832  1 La 3.27, 4 Tb 3.52, 2 Ac 3.58
Tb 0.0000 0.6434 0.2168  1 La 3.27, 4 Tb 3.52, 2 Ac 3.58
Tb 0.3566 0.0000 0.7832  1 La 3.27, 4 Tb 3.52, 2 Ac 3.58
Tb 0.3566 0.3566 0.2168  1 La 3.27, 4 Tb 3.52, 2 Ac 3.58
Tb 0.6434 0.0000 0.2168  1 La 3.27, 4 Tb 3.52, 2 Ac 3.58
Tb 0.6434 0.6434 0.7832  1 La 3.27, 4 Tb 3.52, 2 Ac 3.58

space group: P-31m
E_form: 0.1691 eV/atom



(2)
A geometry-optimized BaBePb2 structure. Source: Alexandria, functional GGA-PBE.

a b c (Å): 3.8921 4.0470 7.6815
angles (deg): 90.00 90.00 90.00
Closest atoms and distances in Å follow each position.
Atoms (fractional coordinates):
Ba 0.0000 0.0000 0.0000  5 Pb 3.40-3.77, 4 Be 3.71
Be 0.5000 0.5000 0.6836  5 Pb 2.74-2.97
Pb 0.0000 0.0000 0.5578  4 Be 2.97, 4 Pb 3.32
Pb 0.5000 0.5000 0.3269  1 Be 2.74

space group: Pmm2
E_form: 0.1595 eV/atom



(3)
A geometry-optimized BaNaTmBr6 structure. Source: Alexandria, functional GGA-PBE.

a b c (Å): 7.4876 7.4876 13.8024
angles (deg): 90.00 90.00 120.00
Closest atoms and distances in Å follow each position.
Atoms (fractional coordinates):
Ba 0.0000 0.0000 0.0000  6 Br 3.27
Ba 0.0000 0.0000 0.5000  6 Br 3.27
Na 0.3333 0.6667 0.2500  6 Br 2.99
Na 0.6667 0.3333 0.7500  6 Br 2.99
Tm 0.3333 0.6667 0.7500  6 Br 2.78
Tm 0.6667 0.3333 0.2500  6 Br 2.78
Br 0.0218 0.3712 0.6342  1 Tm 2.78, 1 Na 2.99
Br 0.0218 0.6507 0.8658  1 Tm 2.78, 1 Na 2.99
Br 0.3493 0.3712 0.8658  1 Tm 2.78, 1 Na 2.99
Br 0.3493 0.9782 0.6342  1 Tm 2.78, 1 Na 2.99
Br 0.3712 0.0218 0.1342  1 Tm 2.78, 1 Na 2.99
Br 0.3712 0.3493 0.3658  1 Tm 2.78, 1 Na 2.99
Br 0.6288 0.6507 0.6342  1 Tm 2.78, 1 Na 2.99
Br 0.6288 0.9782 0.8658  1 Tm 2.78, 1 Na 2.99
Br 0.6507 0.0218 0.3658  1 Tm 2.78, 1 Na 2.99
Br 0.6507 0.6288 0.1342  1 Tm 2.78, 1 Na 2.99
Br 0.9782 0.3493 0.1342  1 Tm 2.78, 1 Na 2.99
Br 0.9782 0.6288 0.3658  1 Tm 2.78, 1 Na 2.99

space group: P-31c
formation energy without anion corrections: -17.08 eV/f.u.



(4)
A geometry-optimized Ce2MgS4 structure. Source: Alexandria, functional GGA-PBE.

a b c (Å): 13.0140 3.9620 13.9142
angles (deg): 90.00 90.00 90.00
Closest atoms and distances in Å follow each position.
Atoms (fractional coordinates):
Ce 0.1223 0.2500 0.0725  6 S 2.78-2.88
Ce 0.1283 0.2500 0.7070  6 S 2.72-2.95
Ce 0.3717 0.7500 0.2070  6 S 2.72-2.95
Ce 0.3777 0.7500 0.5725  6 S 2.78-2.88
Ce 0.6223 0.2500 0.4275  6 S 2.78-2.88
Ce 0.6283 0.2500 0.7930  6 S 2.72-2.95
Ce 0.8717 0.7500 0.2930  6 S 2.72-2.95
Ce 0.8777 0.7500 0.9275  6 S 2.78-2.88
Mg 0.1074 0.7500 0.4635  5 S 2.53-2.65
Mg 0.3926 0.2500 0.9635  5 S 2.53-2.65
Mg 0.6074 0.7500 0.0365  5 S 2.53-2.65
Mg 0.8926 0.2500 0.5365  5 S 2.53-2.65
S 0.0008 0.2500 0.3858  3 Mg 2.53-2.65
S 0.0246 0.2500 0.8867  4 Ce 2.81-2.88
S 0.2284 0.2500 0.5171  2 Mg 2.64, 3 Ce 2.88-2.95
S 0.2335 0.2500 0.2429  3 Ce 2.72-2.78
S 0.2665 0.7500 0.7429  3 Ce 2.72-2.78
S 0.2716 0.7500 0.0171  2 Mg 2.64, 3 Ce 2.88-2.95
S 0.4754 0.7500 0.3867  4 Ce 2.81-2.88
S 0.4992 0.7500 0.8858  3 Mg 2.53-2.65
S 0.5008 0.2500 0.1142  3 Mg 2.53-2.65
S 0.5246 0.2500 0.6133  4 Ce 2.81-2.88
S 0.7284 0.2500 0.9829  2 Mg 2.64, 3 Ce 2.88-2.95
S 0.7335 0.2500 0.2571  3 Ce 2.72-2.78
S 0.7665 0.7500 0.7571  3 Ce 2.72-2.78
S 0.7716 0.7500 0.4829  2 Mg 2.64, 3 Ce 2.88-2.95
S 0.9754 0.7500 0.1133  4 Ce 2.81-2.88
S 0.9992 0.7500 0.6142  3 Mg 2.53-2.65

space group: Pnma
formation energy without anion corrections: -11.97 eV/f.u.
offset from the most stable computed form: 57 meV/atom



(5)
A geometry-optimized Tb2CePuSb4 structure. Source: Alexandria, functional GGA-PBE.

a b c (Å): 7.6739 4.4380 7.6776
angles (deg): 90.00 109.52 90.00
Closest atoms and distances in Å follow each position.
Atoms (fractional coordinates):
Tb 0.0000 0.0000 0.0000  6 Sb 3.13
Tb 0.5000 0.5000 0.0000  6 Sb 3.12
Ce 0.0000 0.5000 0.5000  6 Sb 3.15
Pu 0.5000 0.0000 0.5000  6 Sb 3.14
Sb 0.2506 0.5000 0.2482  3 Tb 3.12-3.13, 2 Pu 3.14, 1 Ce 3.15
Sb 0.2518 0.0000 0.7531  3 Tb 3.12-3.13, 1 Pu 3.14, 2 Ce 3.15
Sb 0.7482 0.0000 0.2469  3 Tb 3.12-3.13, 1 Pu 3.14, 2 Ce 3.15
Sb 0.7494 0.5000 0.7518  3 Tb 3.12-3.13, 2 Pu 3.14, 1 Ce 3.15

space group: P2/m
formation energy without anion corrections: -7.90 eV/f.u.



(6)
A geometry-optimized CdInPb3 structure. Source: Alexandria, functional GGA-PBE.

a b c (Å): 5.6981 5.6981 5.6981
angles (deg): 90.00 90.00 90.00
Closest atoms and distances in Å follow each position.
Atoms (fractional coordinates):
Cd 0.0000 0.0000 0.0000  6 Pb 2.85
In 0.5000 0.5000 0.5000  12 Pb 4.03
Pb 0.0000 0.0000 0.5000  2 Cd 2.85
Pb 0.0000 0.5000 0.0000  2 Cd 2.85
Pb 0.5000 0.0000 0.0000  2 Cd 2.85

space group: Pm-3m
E_form: 0.4376 eV/atom
offset from the most stable computed form: 374 meV/atom



(7)
A geometry-optimized La3Er3Tm4 structure. Source: Alexandria, functional GGA-PBE.

a b c (Å): 3.6684 9.5150 9.5150
angles (deg): 89.93 90.00 90.00
Closest atoms and distances in Å follow each position.
Atoms (fractional coordinates):
La 0.0000 0.0000 0.0000  6 Tm 3.34-3.46, 2 La 3.67
La 0.5000 0.3327 0.8223  4 Tm 3.65-3.89, 4 La 3.67-4.03, 6 Er 3.90-3.99
La 0.5000 0.8223 0.3327  4 Tm 3.65-3.89, 4 La 3.67-4.03, 6 Er 3.90-3.99
Er 0.0000 0.1546 0.4993  6 Tm 3.31-3.38, 2 Er 3.67
Er 0.0000 0.4993 0.1546  6 Tm 3.31-3.38, 2 Er 3.67
Er 0.0000 0.6509 0.6509  6 Tm 3.28-3.36, 2 Er 3.67
Tm 0.5000 0.2076 0.2076  1 Tm 3.25, 2 La 3.34, 4 Er 3.36
Tm 0.5000 0.4493 0.4493  1 Tm 3.25, 6 Er 3.28-3.38
Tm 0.5000 0.6969 0.9435  4 Er 3.31-3.36, 3 Tm 3.32-3.67, 3 La 3.46-3.65
Tm 0.5000 0.9435 0.6969  4 Er 3.31-3.36, 3 Tm 3.32-3.67, 3 La 3.46-3.65

space group: Amm2
E_form: 0.0843 eV/atom



(8)
A geometry-optimized Nb6FeN structure. Source: Alexandria, functional GGA-PBE.

a b c (Å): 4.8241 5.3226 5.4465
angles (deg): 96.55 111.69 90.78
Closest atoms and distances in Å follow each position.
Atoms (fractional coordinates):
Nb 0.0654 0.2837 0.1468  1 N 2.25
Nb 0.2109 0.8468 0.4482  1 N 2.19
Nb 0.4091 0.3938 0.7466  1 N 2.06
Nb 0.5909 0.6062 0.2534  1 N 2.06
Nb 0.7891 0.1532 0.5518  1 N 2.19
Nb 0.9346 0.7163 0.8532  1 N 2.25
Fe 0.5000 0.0000 0.0000  8 Nb 2.59-2.89
N 0.0000 0.5000 0.5000  6 Nb 2.06-2.25

space group: P-1
formation energy without anion corrections: -1.81 eV/f.u.



(9)
A geometry-optimized NbCdCuNi structure. Source: Alexandria, functional GGA-PBE.

a b c (Å): 4.4005 4.4005 4.4005
angles (deg): 60.00 60.00 60.00
Closest atoms and distances in Å follow each position.
Atoms (fractional coordinates):
Nb 0.0000 0.0000 0.0000  4 Cu 2.69, 4 Ni 2.69
Cd 0.5000 0.5000 0.5000  4 Cu 2.69, 4 Ni 2.69
Cu 0.7500 0.7500 0.7500  4 Cd 2.69, 4 Nb 2.69
Ni 0.2500 0.2500 0.2500  4 Cd 2.69, 4 Nb 2.69

space group: F-43m
E_form: 0.0319 eV/atom



(10)
A geometry-optimized TbCe5 structure. Source: Alexandria, functional GGA-PBE.

a b c (Å): 7.6069 7.6069 4.7762
angles (deg): 90.00 90.00 143.47
Closest atoms and distances in Å follow each position.
Atoms (fractional coordinates):
Tb 0.0000 0.0000 0.0000  12 Ce 3.37-3.43
Ce 0.1681 0.8319 0.5000  10 Ce 3.33-3.40, 2 Tb 3.41
Ce 0.3290 0.6710 0.0000  10 Ce 3.30-3.44, 2 Tb 3.43
Ce 0.5000 0.5000 0.5000  4 Tb 3.37, 8 Ce 3.40-3.44
Ce 0.6710 0.3290 0.0000  10 Ce 3.30-3.44, 2 Tb 3.43
Ce 0.8319 0.1681 0.5000  10 Ce 3.33-3.40, 2 Tb 3.41

space group: Cmmm
E_form: 0.0709 eV/atom
offset from the most stable computed form: 32 meV/atom



(11)
A geometry-optimized AlAgBr2 structure. Source: Alexandria, functional GGA-PBE.

a b c (Å): 3.9606 4.2240 6.7547
angles (deg): 90.00 90.00 90.00
Closest atoms and distances in Å follow each position.
Atoms (fractional coordinates):
Al 0.0000 0.0000 0.0000  4 Br 2.90
Ag 0.0000 0.5000 0.5000  4 Br 2.90
Br 0.5000 0.0000 0.5000  4 Ag 2.90
Br 0.5000 0.5000 0.0000  4 Al 2.90

space group: Pmmm
formation energy without anion corrections: -0.41 eV/f.u.
offset from the most stable computed form: 379 meV/atom



(12)
A geometry-optimized CdCoIr structure. Source: Alexandria, functional GGA-PBE.

a b c (Å): 7.2601 7.0160 2.7530
angles (deg): 83.92 73.93 22.15
Closest atoms and distances in Å follow each position.
Atoms (fractional coordinates):
Cd 0.0000 0.0000 0.0000  2 Co 2.74, 6 Cd 2.75-2.86, 2 Ir 2.87
Co 0.3300 0.3300 0.6700  2 Ir 2.49, 2 Cd 2.74, 4 Co 2.75
Ir 0.6815 0.6815 0.3185  2 Co 2.49, 4 Ir 2.75

space group: Fmm2
E_form: 0.3455 eV/atom
offset from the most stable computed form: 178 meV/atom



(13)
A geometry-optimized SmThPb2 structure. Source: Alexandria, functional GGA-PBE.

a b c (Å): 5.5535 5.5535 5.5535
angles (deg): 60.00 60.00 60.00
Closest atoms and distances in Å follow each position.
Atoms (fractional coordinates):
Sm 0.0000 0.0000 0.0000  8 Pb 3.40
Th 0.5000 0.5000 0.5000  8 Pb 3.40
Pb 0.2500 0.2500 0.2500  4 Th 3.40, 4 Sm 3.40
Pb 0.7500 0.7500 0.7500  4 Th 3.40, 4 Sm 3.40

space group: Fm-3m
E_form: -0.2778 eV/atom



(14)
A geometry-optimized Zn2NiIr structure. Source: Alexandria, functional GGA-PBE.

a b c (Å): 3.0026 3.0026 5.8932
angles (deg): 90.00 90.00 90.00
Closest atoms and distances in Å follow each position.
Atoms (fractional coordinates):
Zn 0.0000 0.0000 0.0000  4 Ni 2.48, 4 Zn 2.65
Zn 0.5000 0.5000 0.2695  4 Ir 2.61, 4 Zn 2.65, 1 Ni 2.86
Ni 0.5000 0.5000 0.7837  4 Zn 2.48, 4 Ir 2.61
Ir 0.0000 0.0000 0.5273  4 Ni 2.61, 5 Zn 2.61-2.79

space group: P4mm
E_form: -0.0644 eV/atom



(15)
A geometry-optimized Co3Br structure. Source: Alexandria, functional GGA-PBE.

a b c (Å): 3.4723 3.4723 5.4451
angles (deg): 90.00 90.00 90.00
Closest atoms and distances in Å follow each position.
Atoms (fractional coordinates):
Co 0.0000 0.0000 0.0000  4 Co 2.32
Co 0.0000 0.5000 0.7178  6 Co 2.32-2.46
Co 0.5000 0.0000 0.7178  6 Co 2.32-2.46
Br 0.5000 0.5000 0.3370  4 Co 2.70

space group: P4mm
formation energy without anion corrections: 2.29 eV/f.u.
offset from the most stable computed form: 260 meV/atom



(16)
A geometry-optimized Mg2SiAg structure. Source: Alexandria, functional GGA-PBE.

a b c (Å): 3.1220 3.1220 7.8603
angles (deg): 90.00 90.00 90.00
Closest atoms and distances in Å follow each position.
Atoms (fractional coordinates):
Mg 0.0000 0.0000 0.0000  4 Ag 2.92, 8 Mg 3.12-3.24
Mg 0.5000 0.5000 0.3022  4 Si 2.87, 4 Mg 3.12
Si 0.0000 0.0000 0.5362  4 Ag 2.81, 4 Mg 2.87, 4 Si 3.12
Ag 0.5000 0.5000 0.7568  4 Si 2.81, 4 Mg 2.92, 4 Ag 3.12

space group: P4mm
formation energy without anion corrections: 0.38 eV/f.u.



(17)
A geometry-optimized BaUAg2Br8 structure. Source: Alexandria, functional GGA-PBE.

a b c (Å): 7.0054 7.5339 9.4232
angles (deg): 108.96 90.05 100.57
Closest atoms and distances in Å follow each position.
Atoms (fractional coordinates):
Ba 0.0000 0.0000 0.0000  6 Br 3.22-3.34
U 0.0000 0.0000 0.5000  6 Br 2.77-2.86
Ag 0.4918 0.6647 0.1860  4 Br 2.65-2.91
Ag 0.5082 0.3353 0.8140  4 Br 2.65-2.91
Br 0.1050 0.7571 0.2206  1 U 2.86, 1 Ag 2.91
Br 0.1287 0.7888 0.6605  1 U 2.78
Br 0.3630 0.2348 0.5333  1 Ag 2.65, 1 U 2.77
Br 0.4274 0.2665 0.0696  2 Ag 2.66-2.79
Br 0.5726 0.7335 0.9304  2 Ag 2.66-2.79
Br 0.6370 0.7652 0.4667  1 Ag 2.65, 1 U 2.77
Br 0.8713 0.2112 0.3395  1 U 2.78
Br 0.8950 0.2429 0.7794  1 U 2.86, 1 Ag 2.91

space group: P-1
formation energy without anion corrections: -14.19 eV/f.u.



(18)
A geometry-optimized Rb3NpO4 structure. Source: Alexandria, functional GGA-PBE.

a b c (Å): 6.6929 6.6929 6.6929
angles (deg): 120.64 86.82 123.07
Closest atoms and distances in Å follow each position.
Atoms (fractional coordinates):
Rb 0.0000 0.0000 0.0000  4 O 2.65-2.92
Rb 0.2571 0.4823 0.7747  3 O 2.93-2.99
Rb 0.7076 0.4823 0.2253  3 O 2.93-2.99
Np 0.5043 0.0043 0.5000  4 O 1.97-2.00
O 0.3151 0.0549 0.7398  1 Np 2.00
O 0.3151 0.5752 0.2602  1 Np 2.00
O 0.3355 0.0365 0.2990  1 Np 1.97
O 0.7375 0.0365 0.7010  1 Np 1.97

space group: Imm2
formation energy without anion corrections: -15.64 eV/f.u.
offset from the most stable computed form: 178 meV/atom



(19)
A geometry-optimized MgZn2O3 structure. Source: Alexandria, functional GGA-PBE.

a b c (Å): 5.6593 5.6593 5.6593
angles (deg): 146.33 59.95 131.95
Closest atoms and distances in Å follow each position.
Atoms (fractional coordinates):
Mg 0.0000 0.0000 0.0000  4 O 1.98-1.99
Zn 0.3293 0.9957 0.3335  4 O 2.01
Zn 0.6622 0.9957 0.6665  4 O 2.01
O 0.2425 0.7425 0.5000  2 Mg 1.98, 2 Zn 2.01
O 0.5834 0.7486 0.8348  1 Mg 1.99, 3 Zn 2.01
O 0.9137 0.7486 0.1652  1 Mg 1.99, 3 Zn 2.01

space group: Imm2
formation energy without anion corrections: -10.97 eV/f.u.



(20)
A geometry-optimized HfTlPd structure. Source: Alexandria, functional GGA-PBE.

a b c (Å): 7.9502 7.9502 7.9502
angles (deg): 33.71 33.71 33.71
Closest atoms and distances in Å follow each position.
Atoms (fractional coordinates):
Hf 0.1195 0.1195 0.1195  4 Pd 2.65-2.71
Hf 0.8805 0.8805 0.8805  4 Pd 2.65-2.71
Tl 0.3733 0.3733 0.3733  4 Pd 2.94-3.05, 3 Hf 3.21, 3 Tl 3.21
Tl 0.6267 0.6267 0.6267  4 Pd 2.94-3.05, 3 Hf 3.21, 3 Tl 3.21
Pd 0.2374 0.2374 0.2374  4 Hf 2.65-2.71, 3 Tl 2.94
Pd 0.7626 0.7626 0.7626  4 Hf 2.65-2.71, 3 Tl 2.94

space group: R-3m
E_form: -0.2227 eV/atom



E_tot readings, ordered: -58.14 -12.43 -69.66 -167.75 -53.92 -12.59 -45.51 -79.02 -20.73 -33.87 -10.35 -15.85 -20.67 -17.45 -20.70 -11.09 -46.49 -51.32 -29.99 -36.36 eV per cell